Density functional theory data (PBE) for a geometry-optimized HfTeI3 structure.

Cell: 8.349 8.349 8.342 Å, 105.09 102.56 121.51°
Fractional positions:
Te 0.587 0.282 0.805
Te 0.477 0.782 0.195
I 0.032 0.806 0.274
I 0.532 0.758 0.726
I 0.982 0.282 0.200
I 0.532 0.306 0.274
I 0.032 0.258 0.726
I 0.082 0.781 0.800
Hf 0.032 0.532 0.000
Hf 0.532 0.032 0.000

Values from the calculation:
* energy: -0.306 Ry/atom
* DOS at the Fermi energy: 0.426 states/eV per atom